[1]
Tb2AlHPt6 (PBE, optimized geometry); energy = -6.182 eV per atom; M_tot = 0.0 μB/cell
1.0
-2.431 -1.607 -4.825
-5.386 -2.563 3.568
-6.823 1.292 -0.284
Pt Tb H Al
6 2 1 1
Cartesian
-9.581 -2.460 -0.938
-3.482 -1.812 -2.591
-11.157 -1.065 1.050
-5.058 -0.418 -0.604
-12.380 -1.874 -1.378
-2.259 -1.004 -0.163
-7.474 -1.735 1.052
-7.165 -1.143 -2.593
-3.908 -2.085 -0.628
0.000 0.000 0.000

---

[2]
FeAgBr2 (PBE, optimized geometry); M_tot = 3.3 μB/cell; formation energy without anion corrections = 0.65 eV/atom
1.0
5.000 0.000 0.000
2.500 4.331 0.000
2.500 1.444 4.083
Br Ag Fe
2 1 1
Cartesian
0.000 0.000 0.000
7.501 4.331 3.062
5.000 2.887 2.041
2.500 1.444 1.021

---

[3]
CsVSb3 (PBE, optimized geometry); M_tot = 0.0 μB/cell; formation energy without anion corrections = 0.04 eV/atom
1.0
-2.991 2.662 -3.513
-4.347 -2.481 1.822
-0.726 3.890 3.566
V Sb Cs
1 3 1
Cartesian
0.000 0.000 0.000
-1.496 1.331 -1.756
-0.363 1.945 1.783
-2.174 -1.241 0.911
-4.032 2.035 0.938

---

[4]
TaCrN3 (PBE, optimized geometry); M_tot = 0.2 μB/cell; formation energy without anion corrections = 0.83 eV/atom
1.0
-3.783 0.177 1.272
-0.689 -3.619 -1.546
1.083 -1.683 3.458
Ta N Cr
1 3 1
Cartesian
0.000 0.000 0.000
-0.344 -1.810 -0.773
-1.892 0.089 0.636
0.542 -0.841 1.729
-1.694 -2.562 1.592

---

The highest M_tot belongs to which entry?
FeAgBr2

---

Among the records above, which one has the highest M_tot?
FeAgBr2